(1)
TlFe2Ir | PBE | optimized geometry

Electronic total energy   -53.2 eV for the cell shown
Energy of formation from the pure elements   0.39 eV/atom
Relative energy among the computed polymorphs   51 meV/atom
V   60.9 Å³/f.u.

Cell and atoms, written as CIF:
```
data_TlFe2Ir
_chemical_formula_sum 'Tl2 Fe4 Ir2'
_cell_length_a 3.112
_cell_length_b 4.442
_cell_length_c 8.807
_cell_angle_alpha 90.00
_cell_angle_beta 90.00
_cell_angle_gamma 90.00
_symmetry_space_group_name_H-M 'I m m 2'
_symmetry_Int_Tables_number 44
_symmetry_space_group_name_Hall 'I 2 -2'
loop_
_atom_site_label
_atom_site_fract_x
_atom_site_fract_y
_atom_site_fract_z
Tl1 0.000 0.000 0.000
Fe1 0.000 0.000 0.476
Fe2 0.000 0.500 0.762
Ir1 0.000 0.500 0.226
```



(2)
MgNbH | PBE | optimized geometry

Electronic total energy   -58.2 eV for the cell shown
Relative energy among the computed polymorphs   257 meV/atom
V   42.1 Å³/f.u.

Cell and atoms, written as CIF:
```
data_MgNbH
_chemical_formula_sum 'Mg4 Nb4 H4'
_cell_length_a 5.900
_cell_length_b 4.450
_cell_length_c 6.414
_cell_angle_alpha 90.00
_cell_angle_beta 90.00
_cell_angle_gamma 90.00
_symmetry_space_group_name_H-M 'P n m a'
_symmetry_Int_Tables_number 62
_symmetry_space_group_name_Hall '-P 2ac 2n'
loop_
_atom_site_label
_atom_site_fract_x
_atom_site_fract_y
_atom_site_fract_z
Mg1 0.088 0.250 0.103
Nb1 0.077 0.250 0.614
H1 0.080 0.750 0.638
```



(3)
NaIn4SbS8 | PBE | optimized geometry

Electronic total energy   -171.8 eV for the cell shown
Uncorrected formation energy   -759 kJ/mol of formula units
V   349.5 Å³/f.u.

Cell and atoms, written as CIF:
```
data_NaIn4SbS8
_chemical_formula_sum 'Na3 In12 Sb3 S24'
_cell_length_a 7.9126
_cell_length_b 7.9126
_cell_length_c 19.3362
_cell_angle_alpha 90.00
_cell_angle_beta 90.00
_cell_angle_gamma 120.00
_symmetry_space_group_name_H-M 'R 3 m'
_symmetry_Int_Tables_number 160
_symmetry_space_group_name_Hall 'R 3 -2"'
loop_
_atom_site_label
_atom_site_fract_x
_atom_site_fract_y
_atom_site_fract_z
Na1 0.0000 0.0000 0.0000
In1 0.0000 0.0000 0.2454
In2 0.1736 0.3471 0.4581
Sb1 0.0000 0.0000 0.6340
S1 0.0000 0.0000 0.3824
S2 0.0000 0.0000 0.8642
S3 0.0290 0.5145 0.3802
S4 0.1731 0.3463 0.1997
```



(4)
TbTl2Ag2Cl6 | PBE | optimized geometry

Electronic total energy   -77.6 eV for the cell shown
Uncorrected formation energy   -1220 kJ/mol of formula units
V   334.1 Å³/f.u.

Cell and atoms, written as CIF:
```
data_TbTl2Ag2Cl6
_chemical_formula_sum 'Tb2 Tl4 Ag4 Cl12'
_cell_length_a 12.162
_cell_length_b 8.506
_cell_length_c 7.868
_cell_angle_alpha 90.00
_cell_angle_beta 124.82
_cell_angle_gamma 90.00
_symmetry_space_group_name_H-M 'C 1 2/m 1'
_symmetry_Int_Tables_number 12
_symmetry_space_group_name_Hall '-C 2y'
loop_
_atom_site_label
_atom_site_fract_x
_atom_site_fract_y
_atom_site_fract_z
Tb1 0.000 0.000 0.000
Tl1 0.208 0.000 0.687
Ag1 0.038 0.500 0.866
Cl1 0.037 0.210 0.284
Cl2 0.240 0.500 0.821
```



(5)
GdUTc | PBE | optimized geometry

Electronic total energy   -35.0 eV for the cell shown
Energy of formation from the pure elements   0.25 eV/atom
Relative energy among the computed polymorphs   228 meV/atom
V   62.2 Å³/f.u.

Cell and atoms, written as CIF:
```
data_GdUTc
_chemical_formula_sum 'Gd1 U1 Tc1'
_cell_length_a 4.7502
_cell_length_b 4.7502
_cell_length_c 3.1811
_cell_angle_alpha 90.00
_cell_angle_beta 90.00
_cell_angle_gamma 120.00
_symmetry_space_group_name_H-M 'P 3 m 1'
_symmetry_Int_Tables_number 156
_symmetry_space_group_name_Hall 'P 3 -2"'
loop_
_atom_site_label
_atom_site_fract_x
_atom_site_fract_y
_atom_site_fract_z
Gd1 0.0000 0.0000 0.0000
U1 0.6667 0.3333 0.3755
Tc1 0.3333 0.6667 0.6138
```



(6)
Na2ThPdO4 | PBE | optimized geometry

Electronic total energy   -50.9 eV for the cell shown
Uncorrected formation energy   -1528 kJ/mol of formula units
V   118.6 Å³/f.u.

Cell and atoms, written as CIF:
```
data_Na2ThPdO4
_chemical_formula_sum 'Na2 Th1 Pd1 O4'
_cell_length_a 6.138
_cell_length_b 3.358
_cell_length_c 6.487
_cell_angle_alpha 90.00
_cell_angle_beta 117.47
_cell_angle_gamma 90.00
_symmetry_space_group_name_H-M 'P 1 2/m 1'
_symmetry_Int_Tables_number 10
_symmetry_space_group_name_Hall '-P 2y'
loop_
_atom_site_label
_atom_site_fract_x
_atom_site_fract_y
_atom_site_fract_z
Na1 0.000 0.000 0.000
Na2 0.500 0.500 0.000
Th1 0.000 0.500 0.500
Pd1 0.500 0.000 0.500
O1 0.190 0.000 0.764
O2 0.277 0.500 0.324
```



(7)
ZnCdSb | PBE | optimized geometry

Electronic total energy   -11.7 eV for the cell shown
Uncorrected formation energy   45 kJ/mol of formula units
Relative energy among the computed polymorphs   118 meV/atom
V   67.9 Å³/f.u.

Cell and atoms, written as CIF:
```
data_ZnCdSb
_chemical_formula_sum 'Zn2 Cd2 Sb2'
_cell_length_a 3.241
_cell_length_b 3.241
_cell_length_c 12.931
_cell_angle_alpha 90.00
_cell_angle_beta 90.00
_cell_angle_gamma 90.00
_symmetry_space_group_name_H-M 'I 4 m m'
_symmetry_Int_Tables_number 107
_symmetry_space_group_name_Hall 'I 4 -2'
loop_
_atom_site_label
_atom_site_fract_x
_atom_site_fract_y
_atom_site_fract_z
Zn1 0.000 0.000 0.000
Cd1 0.000 0.000 0.356
Sb1 0.000 0.000 0.660
```



(8)
Ca2HoPaP4 | PBE | optimized geometry

Electronic total energy   -50.5 eV for the cell shown
Energy of formation from the pure elements   -1.34 eV/atom
V   190.5 Å³/f.u.

Cell and atoms, written as CIF:
```
data_Ca2HoPaP4
_chemical_formula_sum 'Ca2 Ho1 Pa1 P4'
_cell_length_a 6.999
_cell_length_b 4.090
_cell_length_c 7.052
_cell_angle_alpha 90.00
_cell_angle_beta 109.29
_cell_angle_gamma 90.00
_symmetry_space_group_name_H-M 'P 1 2/m 1'
_symmetry_Int_Tables_number 10
_symmetry_space_group_name_Hall '-P 2y'
loop_
_atom_site_label
_atom_site_fract_x
_atom_site_fract_y
_atom_site_fract_z
Ca1 0.000 0.000 0.000
Ca2 0.500 0.500 0.000
Ho1 0.000 0.500 0.500
Pa1 0.500 0.000 0.500
P1 0.252 0.000 0.730
P2 0.263 0.500 0.271
```



(9)
Li3Tm2TlO6 | PBE | optimized geometry

Electronic total energy   -149.0 eV for the cell shown
Uncorrected formation energy   -2672 kJ/mol of formula units
V   145.1 Å³/f.u.

Cell and atoms, written as CIF:
```
data_Li3Tm2TlO6
_chemical_formula_sum 'Li6 Tm4 Tl2 O12'
_cell_length_a 5.745
_cell_length_b 9.870
_cell_length_c 5.491
_cell_angle_alpha 90.00
_cell_angle_beta 111.21
_cell_angle_gamma 90.00
_symmetry_space_group_name_H-M 'C 1 2/m 1'
_symmetry_Int_Tables_number 12
_symmetry_space_group_name_Hall '-C 2y'
loop_
_atom_site_label
_atom_site_fract_x
_atom_site_fract_y
_atom_site_fract_z
Li1 0.000 0.000 0.000
Li2 0.000 0.342 0.000
Tm1 0.000 0.167 0.500
Tl1 0.000 0.500 0.500
O1 0.239 0.000 0.746
O2 0.245 0.172 0.260
```



(10)
Ac3In7Rh4 | PBE | optimized geometry

Electronic total energy   -137.0 eV for the cell shown
Energy of formation from the pure elements   -0.54 eV/atom
V   337.1 Å³/f.u.

Cell and atoms, written as CIF:
```
data_Ac3In7Rh4
_chemical_formula_sum 'Ac6 In14 Rh8'
_cell_length_a 17.010
_cell_length_b 4.526
_cell_length_c 10.413
_cell_angle_alpha 90.00
_cell_angle_beta 122.76
_cell_angle_gamma 90.00
_symmetry_space_group_name_H-M 'C 1 2/m 1'
_symmetry_Int_Tables_number 12
_symmetry_space_group_name_Hall '-C 2y'
loop_
_atom_site_label
_atom_site_fract_x
_atom_site_fract_y
_atom_site_fract_z
Ac1 0.000 0.000 0.000
Ac2 0.193 0.500 0.705
In1 0.000 0.000 0.500
In2 0.008 0.500 0.288
In3 0.163 0.000 0.429
In4 0.181 0.500 0.023
Rh1 0.113 0.000 0.833
Rh2 0.164 0.500 0.275
```



(11)
Y2Zn3In | PBE | optimized geometry

Electronic total energy   -176.0 eV for the cell shown
Energy of formation from the pure elements   -0.42 eV/atom
Relative energy among the computed polymorphs   0 meV/atom
V   130.5 Å³/f.u.

Cell and atoms, written as CIF:
```
data_Y2Zn3In
_chemical_formula_sum 'Y16 Zn24 In8'
_cell_length_a 7.209
_cell_length_b 9.149
_cell_length_c 15.833
_cell_angle_alpha 90.00
_cell_angle_beta 90.00
_cell_angle_gamma 90.00
_symmetry_space_group_name_H-M 'F m m m'
_symmetry_Int_Tables_number 69
_symmetry_space_group_name_Hall '-F 2 2'
loop_
_atom_site_label
_atom_site_fract_x
_atom_site_fract_y
_atom_site_fract_z
Y1 0.243 0.000 0.000
Y2 0.250 0.250 0.250
Zn1 0.000 0.000 0.162
Zn2 0.000 0.244 0.081
In1 0.000 0.000 0.335
```



(12)
MnHgGe2P | PBE | optimized geometry

Electronic total energy   -21.7 eV for the cell shown
Energy of formation from the pure elements   0.49 eV/atom
V   106.6 Å³/f.u.

Cell and atoms, written as CIF:
```
data_MnHgGe2P
_chemical_formula_sum 'Mn1 Hg1 Ge2 P1'
_cell_length_a 4.978
_cell_length_b 4.978
_cell_length_c 4.301
_cell_angle_alpha 90.00
_cell_angle_beta 90.00
_cell_angle_gamma 90.00
_symmetry_space_group_name_H-M 'P 4/m m m'
_symmetry_Int_Tables_number 123
_symmetry_space_group_name_Hall '-P 4 2'
loop_
_atom_site_label
_atom_site_fract_x
_atom_site_fract_y
_atom_site_fract_z
Mn1 0.000 0.000 0.000
Hg1 0.500 0.500 0.000
Ge1 0.000 0.500 0.500
P1 0.000 0.000 0.500
```



- electronic total energy of number 11 (Y2Zn3In)?
  -176.0 eV for the cell shown